<w>
{"formula": "K2Rb4O", "functional": "PBE-GGA", "state": "optimized geometry", "cell": [[5.834, 0.000, 0.000], [0.000, 5.834, 0.000], [2.917, 2.917, 12.522]], "species": ["K", "K", "O", "Rb", "Rb", "Rb", "Rb"], "fractional_positions": [[0.702, 0.702, 0.597], [0.298, 0.298, 0.403], [0.000, 0.000, 0.000], [0.892, 0.892, 0.215], [0.108, 0.108, 0.785], [0.000, 0.500, 0.000], [0.500, 0.000, 0.000]], "total_magnetization_mub_per_fu": 0.00, "n_ef_per_ev_cell": 4.2, "volume_a3_per_atom": 60.88}

<x>
{"formula": "K2Rb4O", "functional": "PBE-GGA", "state": "optimized geometry", "cell": [[-7.828, -7.193, 6.272], [-0.499, -5.381, -6.793], [7.387, -4.709, 3.187]], "species": ["K", "K", "K", "K", "Rb", "Rb", "Rb", "Rb", "Rb", "Rb", "Rb", "Rb", "O", "O"], "fractional_positions": [[0.831, 0.750, 0.226], [0.169, 0.250, 0.774], [0.103, 0.250, 0.277], [0.897, 0.750, 0.723], [0.451, 0.515, 0.248], [0.199, 0.750, 0.036], [0.801, 0.250, 0.964], [0.451, 0.985, 0.248], [0.784, 0.250, 0.518], [0.549, 0.015, 0.752], [0.549, 0.485, 0.752], [0.216, 0.750, 0.482], [0.329, 0.750, 0.257], [0.671, 0.250, 0.743]], "total_magnetization_mub_per_fu": 0.00, "n_ef_per_ev_cell": 8.5, "volume_a3_per_atom": 71.29}

Order of stability, best first: <w>, <x>